DFT (PBE) results for an optimized crystal structure of FeS.

Space group: Pnma (62)
E_form (uncorrected) in meV per atom: -277
Density of states at the Fermi level in states/eV/f.u.: 1.1

Structure (extended XYZ):
```
8
Lattice="-1.596 2.799 0.788 -4.510 -2.532 -0.142 0.519 -1.226 5.404" Properties=species:S:1:pos:R:3 pbc="T T T"
S -4.523 -0.401 2.731
S -1.064 -0.559 3.320
S -3.146 -2.234 5.049
Fe -3.035 0.000 4.323
Fe -5.242 -1.381 4.757
Fe -2.552 -0.959 1.728
Fe -0.345 0.421 1.294
S -2.441 1.274 1.002
```

DFT (PBE) results for an optimized crystal structure of YMo2I2.

Space group: I4/mmm (139)
E_form (uncorrected) in meV per atom: 549
Energy relative to the lowest polymorph listed for this composition in meV/atom: 0.0
Density of states at the Fermi level in states/eV/f.u.: 5.6

Structure (extended XYZ):
```
5
Lattice="-0.970 -4.210 2.420 4.180 0.531 2.600 -0.870 0.718 5.967" Properties=species:S:1:pos:R:3 pbc="T T T"
I -0.118 -2.665 5.448
I 2.458 -0.295 5.539
Mo 1.037 -1.252 3.304
Mo 1.303 -1.708 7.683
Y 0.000 0.000 0.000
```

DFT (PBE) results for an optimized crystal structure of Na2Hf2NiSe6.

Space group: C2/m (12)
E_form (uncorrected) in meV per atom: -1060

Structure (extended XYZ):
```
11
Lattice="-0.464 5.602 3.398 -3.774 -0.975 -5.287 -3.606 -4.506 4.787" Properties=species:S:1:pos:R:3 pbc="T T T"
Hf -3.368 1.162 2.903
Se -4.817 1.172 -1.473
Se -3.743 3.306 1.345
Se -3.028 -1.051 4.372
Hf -4.477 -1.041 -0.005
Se -2.119 -0.148 0.920
Na -3.218 0.131 -3.827
Se -5.725 0.269 1.978
Se -4.102 -3.185 1.554
Ni -1.803 -2.253 2.393
Na -1.021 4.496 1.938
```

DFT (PBE) results for an optimized crystal structure of Cs2ZrTaI6.

Space group: Fm-3m (225)
E_form (uncorrected) in meV per atom: -633
Density of states at the Fermi level in states/eV/f.u.: 6.2

Structure (extended XYZ):
```
10
Lattice="-2.437 -7.388 2.842 -1.948 -2.323 -7.708 3.236 -6.933 -3.179" Properties=species:S:1:pos:R:3 pbc="T T T"
I -1.079 -2.388 -1.197
Ta 0.000 0.000 0.000
I -3.307 -7.322 -3.669
Zr -2.193 -4.855 -2.433
I -2.069 -3.569 -5.113
I -1.716 -10.732 -5.232
Cs -0.697 -9.588 -1.384
I 0.567 -5.911 -2.812
Cs -0.452 -7.056 -6.659
I -2.317 -6.142 0.248
```

DFT (PBE) results for an optimized crystal structure of VWC2.

Space group: R3m (160)
Energy relative to the lowest polymorph listed for this composition in meV/atom: 0.0
Density of states at the Fermi level in states/eV/f.u.: 1.9
Energy of formation in eV/atom: -0.10

Structure (extended XYZ):
```
4
Lattice="-1.070 2.667 0.832 -2.498 1.067 -1.253 -4.001 -1.028 3.529" Properties=species:S:1:pos:R:3 pbc="T T T"
C -1.892 0.676 0.777
C -3.262 -0.431 2.564
V -3.852 1.298 1.642
W -6.348 1.487 3.207
```

DFT (PBE) results for an optimized crystal structure of Mo12OsPt6.

Space group: R-3 (148)
Density of states at the Fermi level in states/eV/f.u.: 19.0
Energy of formation in eV/atom: 0.01

Structure (extended XYZ):
```
19
Lattice="6.613 0.874 -0.942 -1.197 6.563 -0.942 0.637 0.874 6.650" Properties=species:S:1:pos:R:3 pbc="T T T"
Os 0.000 0.000 0.000
Mo 5.535 5.666 4.888
Mo 3.490 4.211 4.297
Pt 1.363 5.754 4.916
Mo 3.578 2.264 2.382
Pt 3.913 6.618 0.171
Mo 0.434 1.304 2.321
Pt 2.141 1.693 4.594
Mo 4.866 4.614 1.847
Mo 3.537 7.497 4.233
Mo 5.619 7.007 2.444
Pt 4.690 2.557 -0.150
Pt 0.088 5.248 1.002
Pt 5.966 3.063 3.763
Mo 1.187 3.698 2.919
Mo 2.516 0.814 0.532
Mo 2.475 6.047 2.384
Mo 2.563 4.100 0.469
Mo 0.518 2.645 -0.123
```

DFT (PBE) results for an optimized crystal structure of BaBeAu3.

Space group: Pm-3m (221)
Energy relative to the lowest polymorph listed for this composition in meV/atom: 1576.0
Density of states at the Fermi level in states/eV/f.u.: 8.7
Energy of formation in eV/atom: 1.14

Structure (extended XYZ):
```
5
Lattice="-2.279 -4.425 3.612 4.730 0.718 3.864 -3.202 4.210 3.137" Properties=species:S:1:pos:R:3 pbc="T T T"
Au -1.601 2.105 1.569
Au 2.365 0.359 1.932
Ba 0.000 0.000 0.000
Be -0.375 0.251 5.306
Au -1.139 -2.213 1.806
```

DFT (PBE) results for an optimized crystal structure of KSrMnCl5.

Space group: C2/c (15)
E_form (uncorrected) in meV per atom: -1831
Density of states at the Fermi level in states/eV/f.u.: 0.0

Structure (extended XYZ):
```
16
Lattice="-3.678 -5.015 -4.541 1.372 -3.608 6.663 -7.303 6.749 2.445" Properties=species:S:1:pos:R:3 pbc="T T T"
Mn -5.717 1.005 4.921
Cl -1.619 -2.471 0.186
Cl -4.970 -2.954 1.757
Cl -4.996 -1.188 -1.584
Sr 0.000 0.000 0.000
Cl -0.946 -2.058 6.183
Sr -3.652 3.375 1.222
Cl -7.990 0.597 4.381
Cl -8.664 0.184 -1.617
Cl -5.700 3.008 6.177
K -7.409 0.533 1.168
Mn -3.892 -2.879 -0.354
Cl -3.909 -4.882 -1.611
K -2.201 -2.408 3.399
Cl -4.613 -0.687 6.151
Cl -4.639 1.079 2.810
```

DFT (PBE) results for an optimized crystal structure of Tm2ZnIr2.

Space group: C2/c (15)
Density of states at the Fermi level in states/eV/f.u.: 1.6
Energy of formation in eV/atom: -0.80

Structure (extended XYZ):
```
10
Lattice="-4.033 1.025 3.338 4.917 -1.750 2.216 0.969 7.632 -1.173" Properties=species:S:1:pos:R:3 pbc="T T T"
Ir 1.171 3.164 3.416
Tm 2.271 5.782 2.268
Ir -2.615 0.642 3.879
Tm 3.016 1.654 1.836
Ir 0.682 3.743 0.965
Zn -3.208 2.785 2.563
Ir 4.469 6.266 0.502
Tm -1.163 5.253 2.545
Tm -0.417 1.125 2.113
Zn 0.144 5.872 -0.397
```

DFT (PBE) results for an optimized crystal structure of CaMg2Ag.

Space group: I-42d (122)
Density of states at the Fermi level in states/eV/f.u.: 2.2
Energy of formation in eV/atom: 0.06

Structure (extended XYZ):
```
8
Lattice="-4.171 1.343 0.028 -1.332 -4.123 -0.653 -3.189 -2.975 10.580" Properties=species:S:1:pos:R:3 pbc="T T T"
Mg -7.243 -4.775 7.370
Ca -3.636 -4.244 4.807
Ca -2.751 -1.390 -0.313
Mg -4.419 -3.161 7.718
Mg -2.038 -3.189 2.239
Ag 0.000 0.000 0.000
Ag -5.056 -1.511 5.147
Mg -3.684 -0.383 2.581
```

DFT (PBE) results for an optimized crystal structure of MnCd2Ag.

Space group: I-42d (122)
Density of states at the Fermi level in states/eV/f.u.: 2.8
Energy of formation in eV/atom: 0.38

Structure (extended XYZ):
```
8
Lattice="4.094 0.000 0.000 0.000 4.094 0.000 2.047 2.047 10.050" Properties=species:S:1:pos:R:3 pbc="T T T"
Cd 3.070 3.074 7.537
Ag 0.000 0.000 0.000
Cd 5.117 5.113 7.537
Mn 2.047 2.047 0.000
Mn 2.047 4.094 5.025
Cd 3.066 1.023 2.512
Ag 4.094 2.047 5.025
Cd 1.027 3.070 2.512
```

DFT (PBE) results for an optimized crystal structure of NbAl2W.

Space group: I-42d (122)
Energy relative to the lowest polymorph listed for this composition in meV/atom: 267.5
Density of states at the Fermi level in states/eV/f.u.: 2.6
Energy of formation in eV/atom: 0.40

Structure (extended XYZ):
```
8
Lattice="7.079 0.000 0.000 0.000 7.079 0.000 3.539 3.539 2.761" Properties=species:S:1:pos:R:3 pbc="T T T"
Nb 3.539 7.079 1.381
W 0.000 0.000 0.000
Al 5.359 1.770 0.690
W 7.079 3.539 1.381
Al 5.309 5.260 2.071
Al 8.848 8.898 2.071
Al 1.720 5.309 0.690
Nb 3.539 3.539 0.000
```

DFT (PBE) results for an optimized crystal structure of Pm2Y2Sc7.

Space group: C2/m (12)
Density of states at the Fermi level in states/eV/f.u.: 17.7
Energy of formation in eV/atom: 0.13

Structure (extended XYZ):
```
11
Lattice="11.100 -0.751 -1.084 -1.541 5.861 -0.590 -1.541 -2.611 5.280" Properties=species:S:1:pos:R:3 pbc="T T T"
Sc 0.672 3.336 -0.429
Sc 0.672 -1.573 2.973
Sc 3.345 0.415 0.599
Sc 7.346 4.072 0.634
Sc 0.000 0.000 0.000
Pm 0.954 1.688 2.436
Sc 7.346 -0.837 4.035
Y 4.009 -1.217 3.512
Pm 7.064 0.811 1.171
Sc 4.673 2.084 3.007
Y 4.009 3.716 0.094
```

DFT (PBE) results for an optimized crystal structure of La3CuN3.

Space group: P4/mmm (123)
E_form (uncorrected) in meV per atom: -1124
Density of states at the Fermi level in states/eV/f.u.: 1.7

Structure (extended XYZ):
```
7
Lattice="3.775 0.000 0.000 0.000 3.775 0.000 0.000 0.000 8.759" Properties=species:S:1:pos:R:3 pbc="T T T"
N 0.000 0.000 2.487
N 0.000 0.000 6.272
La 1.888 1.888 6.243
Cu 0.000 0.000 4.379
La 1.888 1.888 2.515
N 1.888 1.888 0.000
La 0.000 0.000 0.000
```

DFT (PBE) results for an optimized crystal structure of Cs12Na3Pd5.

Space group: Ia-3d (230)
Density of states at the Fermi level in states/eV/f.u.: 13.0
Energy of formation in eV/atom: 0.16

Structure (extended XYZ):
```
80
Lattice="19.296 0.000 0.000 -6.432 18.192 0.000 -6.432 -9.096 15.755" Properties=species:S:1:pos:R:3 pbc="T T T"
Cs 3.936 2.684 5.007
Pd 6.432 -4.548 7.877
Cs -1.511 6.536 14.091
Cs 7.943 13.805 4.828
Cs -0.720 1.554 3.049
Cs -3.936 10.650 12.706
Pd 6.432 9.096 0.000
Na 14.472 0.000 3.939
Cs -2.496 -1.130 7.698
Cs -7.650 -0.058 12.885
Pd 1.608 -4.548 11.816
Na 1.608 -1.137 5.908
Cs -1.998 0.058 12.885
Cs 0.720 11.780 10.748
Cs 1.998 2.515 14.370
Cs 11.159 -6.536 14.091
Pd -6.432 4.548 7.877
Cs 2.496 6.412 10.748
Cs 8.928 10.226 8.057
Cs 4.434 6.582 1.385
Pd -1.608 14.781 1.969
Na -4.824 3.411 13.786
Cs 14.082 9.154 2.870
Pd -1.608 4.548 3.939
Pd 3.216 4.548 7.877
Cs 10.368 -1.554 3.049
Pd 11.256 -1.137 9.847
Cs 5.712 -2.684 5.007
Cs 9.882 5.302 6.213
Cs 4.921 7.270 6.492
Na -4.824 -3.411 13.786
Pd -4.824 10.233 5.908
Cs 14.569 4.387 4.828
Cs -3.450 3.794 9.542
Cs -1.705 10.923 6.492
Cs 4.434 11.553 1.485
Na -8.040 9.096 11.816
Cs 7.152 7.543 12.706
Cs 2.982 12.580 6.392
Na 4.824 0.000 11.816
Na 8.040 1.137 5.908
Cs 7.650 2.457 14.270
Cs 8.137 -1.827 9.262
Na 4.824 10.233 9.847
Cs 0.234 5.612 6.392
Cs 12.630 1.818 0.179
Na 11.256 5.685 1.969
Cs 1.998 -2.457 14.270
Pd 4.824 13.644 3.939
Pd 4.824 3.411 1.969
Cs 6.198 3.484 9.363
Cs -3.450 -7.278 15.576
Na 11.256 12.507 1.969
Cs 9.882 16.374 0.179
Cs -1.511 -4.709 10.927
Pd 8.040 4.548 11.816
Cs -5.712 7.966 8.057
Cs -6.198 7.278 15.576
Cs -1.218 6.639 1.485
Cs 13.098 -3.794 9.542
Pd -3.216 9.096 0.000
Cs 1.511 1.827 9.262
Cs -1.218 11.611 1.385
Cs 3.450 -3.484 9.363
Pd 8.040 -5.685 13.786
Pd 9.648 0.000 0.000
Pd -3.216 -4.548 7.877
Cs 7.650 -2.515 14.370
Pd 0.000 0.000 0.000
Cs -6.666 12.890 6.213
Cs 12.143 1.130 7.698
Pd 1.608 5.685 13.786
Cs -8.137 4.709 10.927
Na -1.608 7.959 9.847
Na 1.608 9.096 3.939
Pd 8.040 7.959 5.908
Cs -4.727 15.632 1.664
Cs 7.943 2.560 1.664
Pd -1.608 1.137 9.847
Cs 8.430 9.038 2.870
```

DFT (PBE) results for an optimized crystal structure of Sm5InTe4.

Space group: I4/m (87)
E_form (uncorrected) in meV per atom: -1226
Density of states at the Fermi level in states/eV/f.u.: 4.1

Structure (extended XYZ):
```
10
Lattice="6.290 0.000 0.000 3.145 7.056 0.000 3.145 0.000 7.056" Properties=species:S:1:pos:R:3 pbc="T T T"
Te 6.296 4.242 1.434
Te 9.441 5.621 4.242
Sm 3.154 0.000 0.000
In 0.009 0.000 0.000
Sm 9.441 2.768 5.669
Sm 3.151 4.288 1.387
Sm 6.296 5.669 4.288
Sm 6.296 1.387 2.768
Te 6.296 2.813 5.621
Te 3.151 1.434 2.813
```

DFT (PBE) results for an optimized crystal structure of ZrIn2Os.

Space group: C2/m (12)
Density of states at the Fermi level in states/eV/f.u.: 3.1
Energy of formation in eV/atom: 0.25

Structure (extended XYZ):
```
4
Lattice="-0.442 -2.677 4.797 -2.805 -2.062 -4.273 1.752 -2.445 -0.622" Properties=species:S:1:pos:R:3 pbc="T T T"
Os 0.655 -2.561 2.088
In -1.623 -2.370 0.262
In 0.000 0.000 0.000
Zr -0.526 -2.254 -2.448
```

DFT (PBE) results for an optimized crystal structure of Hf3BeZn3.

Space group: Imm2 (44)
Density of states at the Fermi level in states/eV/f.u.: 5.9
Energy of formation in eV/atom: -0.16

Structure (extended XYZ):
```
7
Lattice="-0.583 1.112 -3.903 2.061 -2.315 -0.967 -7.541 -5.189 1.802" Properties=species:S:1:pos:R:3 pbc="T T T"
Hf -3.047 -1.790 -2.208
Hf -3.103 -4.676 -0.868
Zn -0.878 -2.782 -0.661
Hf -5.986 -6.327 -3.061
Zn -0.103 -1.318 -2.513
Be -5.890 -5.015 -0.548
Zn -5.244 -3.661 -2.412
```

DFT (PBE) results for an optimized crystal structure of Rb3Pm3SnS8.

Space group: R-3m (166)
E_form (uncorrected) in meV per atom: -1523

Structure (extended XYZ):
```
15
Lattice="8.192 0.000 0.000 -4.096 7.096 -0.030 0.000 -4.702 7.895" Properties=species:S:1:pos:R:3 pbc="T T T"
S 6.284 -1.254 2.472
Sn 0.000 -2.351 3.948
S -2.188 3.649 5.393
S 0.000 -0.141 5.409
S 2.188 3.649 5.393
S 0.000 2.374 2.399
S 4.096 2.535 2.456
S 1.908 -1.254 2.472
Pm -2.048 1.197 3.933
Rb 0.000 0.000 0.000
Pm 4.096 -2.351 3.948
Pm 2.048 1.197 3.933
Rb -2.048 3.548 -0.015
S 4.096 0.020 5.466
Rb 2.048 3.548 -0.015
```

DFT (PBE) results for an optimized crystal structure of CrAsRu.

Space group: Pnma (62)
Density of states at the Fermi level in states/eV/f.u.: 1.8
Energy of formation in eV/atom: -0.11

Structure (extended XYZ):
```
12
Lattice="-0.302 0.150 3.955 -1.339 -5.929 0.122 7.112 -1.593 0.604" Properties=species:S:1:pos:R:3 pbc="T T T"
Cr 3.536 -6.785 1.523
Cr 0.406 -3.360 3.146
As 1.639 -4.994 1.310
Cr 5.065 -4.013 1.535
Ru 6.244 -2.313 3.553
As 3.832 -2.379 3.371
As 0.438 -1.610 1.090
Cr 1.934 -0.588 3.158
Ru 2.589 -2.698 1.296
Ru -0.773 -5.060 1.129
Ru 2.882 -4.674 3.385
As 5.033 -5.763 3.591
```

| no. | total moment (μB/cell) |
| --- | --- |
| 1 | 0.00 |
| 2 | 0.00 |
| 3 | 2.00 |
| 4 | 1.00 |
| 5 | 0.00 |
| 6 | 0.00 |
| 7 | 0.00 |
| 8 | 10.00 |
| 9 | 0.00 |
| 10 | 0.00 |
| 11 | 8.13 |
| 12 | 0.00 |
| 13 | 0.00 |
| 14 | 0.00 |
| 15 | 0.00 |
| 16 | 0.00 |
| 17 | 0.00 |
| 18 | 0.00 |
| 19 | 0.00 |
| 20 | 11.32 |